Record 1
Density functional theory data (PBE) for a relaxed AcInGe crystal.

D(E_F), states/eV/f.u.: 1.67
Volume, Å³/f.u.: 95
Space-group type: F-43m (216)
Crystal system: cubic
DFT formation energy, eV per atom: -0.319

Cell lengths 5.116, 5.116, 5.116 Å; angles 60.00, 60.00, 60.00 degrees
Atoms (fractional coordinates):
Ac (0.000, 0.000, 0.000)
In (0.500, 0.500, 0.500)
Ge (0.750, 0.750, 0.750)


Record 2
Density functional theory data (PBE) for a relaxed Ac3In2Ge3 crystal.

D(E_F), states/eV/f.u.: 6.87
Volume, Å³/f.u.: 235
Space-group type: Immm (71)
Crystal system: orthorhombic
DFT formation energy, eV per atom: -0.397

Cell lengths 11.829, 11.829, 11.829 Å; angles 159.97, 155.53, 31.82 degrees
Atoms (fractional coordinates):
Ac (0.000, 0.000, 0.000)
Ac (0.373, 0.873, 0.500)
Ac (0.627, 0.127, 0.500)
In (0.237, 0.237, 0.000)
In (0.763, 0.763, 0.000)
Ge (0.132, 0.632, 0.500)
Ge (0.500, 0.500, 0.000)
Ge (0.868, 0.368, 0.500)


Record 3
Density functional theory data (PBE) for a relaxed Ac6InGe5 crystal.

D(E_F), states/eV/f.u.: 14.76
Volume, Å³/f.u.: 424
Space-group type: C2/m (12)
Crystal system: monoclinic
DFT formation energy, eV per atom: -0.498

Cell lengths 8.070, 8.070, 7.906 Å; angles 99.76, 99.76, 119.13 degrees
Atoms (fractional coordinates):
Ac (0.053, 0.409, 0.734)
Ac (0.228, 0.228, 0.256)
Ac (0.409, 0.053, 0.734)
Ac (0.591, 0.947, 0.266)
Ac (0.772, 0.772, 0.744)
Ac (0.947, 0.591, 0.266)
In (0.500, 0.500, 0.000)
Ge (0.000, 0.000, 0.500)
Ge (0.172, 0.828, 0.000)
Ge (0.348, 0.652, 0.500)
Ge (0.652, 0.348, 0.500)
Ge (0.828, 0.172, 0.000)


Look up the volume of the second one.
235 Å³/f.u.